# Ca3PuTa3N8

Crystalline Ca3PuTa3N8 at its relaxed geometry (PBE, Alexandria).

As for the calculated volume: 605.31 Å³/cell. The uncorrected formation energy is -1.135 eV per atom. For the density, the calculation gives 8.39 g cm⁻³.

The space group is R-3m (No. 166, hexagonal axes) and the conventional cell measures 6.4276, 6.4276 and 16.9194 Å, with angles of 90.00, 90.00 and 120.00 degrees. The inequivalent atoms are Ca at (0.0000, 0.5000, 0.0000), Pu at (0.0000, 0.0000, 0.5000), Ta at (0.0000, 0.5000, 0.5000), N at (0.0000, 0.0000, 0.2387) and N at (0.0104, 0.5052, 0.7672).



# Pd2RuAu

Crystalline Pd2RuAu at its relaxed geometry (PBE, Alexandria).

As for the calculated volume: 280.27 Å³/cell. The value obtained for the formation energy is 0.61 eV per atom. Its excess energy over the best structure of this formula in the dataset is 513 meV per atom. For the density, the calculation gives 12.11 g cm⁻³.

The space group is I-42d (No. 122) and the conventional cell measures 7.1644, 7.1644 and 5.4603 Å, with angles of 90.00, 90.00 and 90.00 degrees. The inequivalent atoms are Pd at (0.2339, 0.2500, 0.1250), Ru at (0.0000, 0.0000, 0.0000) and Au at (0.0000, 0.0000, 0.5000).



# Ac3TmCl

Crystalline Ac3TmCl at its relaxed geometry (PBE, Alexandria).

As for the calculated volume: 195.08 Å³/cell. The uncorrected formation energy is -0.435 eV per atom. For the density, the calculation gives 7.54 g cm⁻³.

The space group is Pm-3m (No. 221) and the conventional cell measures 5.7997, 5.7997 and 5.7997 Å, with angles of 90.00, 90.00 and 90.00 degrees. The inequivalent atoms are Ac at (0.0000, 0.0000, 0.5000), Tm at (0.5000, 0.5000, 0.5000) and Cl at (0.0000, 0.0000, 0.0000).



# Ti6GePb2

Crystalline Ti6GePb2 at its relaxed geometry (PBE, Alexandria).

As for the calculated volume: 169.87 Å³/cell. The value obtained for the formation energy is -0.25 eV per atom. For the density, the calculation gives 7.57 g cm⁻³.

The space group is P-62m (No. 189) and the conventional cell measures 7.3050, 7.3050 and 3.6758 Å, with angles of 90.00, 90.00 and 120.00 degrees. The inequivalent atoms are Ti at (0.0000, 0.2392, 0.0000), Ti at (0.0000, 0.6235, 0.5000), Ge at (0.0000, 0.0000, 0.5000) and Pb at (0.3333, 0.6667, 0.0000).